# 1
# Pr4Nd5Tl2 (PBE-GGA, optimized geometry)
# formation enthalpy at 0 K: 0.213 eV/atom
# DOS(E_F): 1.49 states/eV per atom
data_Pr4Nd5Tl2
_chemical_formula_sum 'Pr12 Nd15 Tl6'
_symmetry_space_group_name_H-M 'R -3 m'
_symmetry_Int_Tables_number 166
_symmetry_space_group_name_Hall '-R 3 2"'
_cell_length_a 5.4038
_cell_length_b 5.4038
_cell_length_c 47.6725
_cell_angle_alpha 90.00
_cell_angle_beta 90.00
_cell_angle_gamma 120.00
loop_
_atom_site_label
_atom_site_type_symbol
_atom_site_fract_x
_atom_site_fract_y
_atom_site_fract_z
Pr1 Pr 0.0000 0.0000 0.0734
Pr2 Pr 0.0000 0.0000 0.2264
Nd1 Nd 0.0000 0.0000 0.0000
Nd2 Nd 0.0000 0.0000 0.1485
Nd3 Nd 0.0000 0.0000 0.3041
Tl1 Tl 0.0000 0.0000 0.3827

---

# 2
# Ac2ZnPd4 (PBE-GGA, optimized geometry)
# formation enthalpy at 0 K: -0.556 eV/atom
# DOS(E_F): 0.45 states/eV per atom
# distance to the lowest polymorph of the same formula: 0.0000 eV/atom
data_Ac2ZnPd4
_chemical_formula_sum 'Ac4 Zn2 Pd8'
_symmetry_space_group_name_H-M 'C m m m'
_symmetry_Int_Tables_number 65
_symmetry_space_group_name_Hall '-C 2 2'
_cell_length_a 5.384
_cell_length_b 15.137
_cell_length_c 4.361
_cell_angle_alpha 90.00
_cell_angle_beta 90.00
_cell_angle_gamma 90.00
loop_
_atom_site_label
_atom_site_type_symbol
_atom_site_fract_x
_atom_site_fract_y
_atom_site_fract_z
Ac1 Ac 0.000 0.156 0.000
Zn1 Zn 0.000 0.500 0.500
Pd1 Pd 0.000 0.302 0.500
Pd2 Pd 0.000 0.411 0.000

---

# 3
# Pr2BeNi3P4 (PBE-GGA, optimized geometry)
# formation enthalpy at 0 K: -0.882 eV/atom
# DOS(E_F): 0.33 states/eV per atom
data_Pr2BeNi3P4
_chemical_formula_sum 'Pr2 Be1 Ni3 P4'
_symmetry_space_group_name_H-M 'P -4 m 2'
_symmetry_Int_Tables_number 115
_cell_length_a 4.045
_cell_length_b 4.045
_cell_length_c 9.302
_cell_angle_alpha 90.00
_cell_angle_beta 90.00
_cell_angle_gamma 90.00
loop_
_symmetry_equiv_pos_as_xyz
'x,y,z'
'y,-x,-z'
'-x,-y,z'
'-y,x,-z'
'-x,y,z'
'-y,-x,-z'
'x,-y,z'
'y,x,-z'
loop_
_atom_site_label
_atom_site_type_symbol
_atom_site_fract_x
_atom_site_fract_y
_atom_site_fract_z
Pr1 Pr 0.000 0.500 0.248
Be1 Be 0.000 0.000 0.500
Ni1 Ni 0.000 0.500 0.886
Ni2 Ni 0.500 0.500 0.500
P1 P 0.000 0.000 0.000
P2 P 0.000 0.500 0.629
P3 P 0.500 0.500 0.000

---

# 4
# CrNi2Os (PBE-GGA, optimized geometry)
# formation enthalpy at 0 K: 0.348 eV/atom
# DOS(E_F): 2.88 states/eV per atom
# distance to the lowest polymorph of the same formula: 0.3198 eV/atom
data_CrNi2Os
_chemical_formula_sum 'Cr4 Ni8 Os4'
_symmetry_space_group_name_H-M 'F m -3 m'
_symmetry_Int_Tables_number 225
_symmetry_space_group_name_Hall '-F 4 2 3'
_cell_length_a 5.784
_cell_length_b 5.784
_cell_length_c 5.784
_cell_angle_alpha 90.00
_cell_angle_beta 90.00
_cell_angle_gamma 90.00
loop_
_atom_site_label
_atom_site_type_symbol
_atom_site_fract_x
_atom_site_fract_y
_atom_site_fract_z
Cr1 Cr 0.000 0.000 0.000
Ni1 Ni 0.250 0.250 0.250
Os1 Os 0.000 0.000 0.500

---

- Which of these has the lowest DOS(E_F)?
  Pr2BeNi3P4

---

- Among the records above, which one has the lowest DOS(E_F)?
  Pr2BeNi3P4

---

- Number 2 is which compound?
  Ac2ZnPd4